# TlCoHg2

A relaxed TlCoHg2 crystal (PBE, the Alexandria database).

Cell and atoms, written as POSCAR:
```
TlCoHg2
1.0
-2.152 2.152 4.534
2.152 -2.152 4.534
2.152 2.152 -4.534
Tl Co Hg
1 1 2
Cartesian
0.000 0.000 0.000
2.152 0.000 2.267
0.000 0.000 4.534
0.000 2.152 2.267
```

Computed properties:
Crystal system: tetragonal
E above lowest polymorph in eV per formula unit: 0.92
DFT formation energy in kJ/mol of formula units: 208
Symmetry: I-4m2